# Pm4PrH8

Crystalline Pm4PrH8 at its relaxed geometry (GGA-PBE, the Alexandria database).

Values from the calculation:
- SG = No. 221
- crystal system = cubic
- D(E_F) (states/eV per cell) = 9.75
- total energy (eV/atom) = -4.055
- calculated density (kg/m3) = 6005

Cell and atoms, written as POSCAR:
```
Pm4PrH8
1.0
5.863 0.000 0.000
0.000 5.863 0.000
0.000 0.000 5.863
Pm Pr H
4 1 8
Cartesian
0.000 0.000 0.000
0.000 2.932 2.932
2.932 0.000 2.932
2.932 2.932 0.000
2.932 2.932 2.932
1.500 1.500 1.500
1.500 1.500 4.363
1.500 4.363 1.500
1.500 4.363 4.363
4.363 1.500 1.500
4.363 1.500 4.363
4.363 4.363 1.500
4.363 4.363 4.363
```